Record 1
Below is crystalline La2PrNdIn2 at its relaxed geometry, with properties calculated at the PBE-GGA level.

abc: 5.318 10.463 6.921
angles: 90.00 90.00 90.00
Fractional positions:
La 0.000 0.054 0.000
La 0.000 0.946 0.500
La 0.500 0.178 0.231
La 0.500 0.822 0.731
Pr 0.500 0.458 0.877
Pr 0.500 0.542 0.377
Nd 0.000 0.313 0.610
Nd 0.000 0.687 0.110
In 0.000 0.373 0.138
In 0.000 0.627 0.638
In 0.500 0.142 0.718
In 0.500 0.858 0.218

Properties
E_form	-35	kJ per mole of atoms
E_tot	-4.506	eV per atom
space group	Pmc2_1 (26)


Record 2
Below is crystalline CrCuSi at its relaxed geometry, with properties calculated at the PBE-GGA level.

abc: 3.977 3.977 3.977
angles: 60.00 60.00 60.00
Fractional positions:
Cr 0.000 0.000 0.000
Cu 0.500 0.500 0.500
Si 0.750 0.750 0.750

Properties
ΔE_f (raw)	0.11	eV/atom
E_tot	-6.268	eV per atom
space group	F-43m (216)


The records above yield calculated volume values of 32.089 14.826 Å³ per atom, respectively.